Record 1
# LiGd2Be

LiGd2Be after structural relaxation (GGA-PBE, Alexandria via LeMat-Bulk).

Lattice parameters (Å, degrees): 3.5059 3.5059 7.5977 90.00 90.00 90.00
With the nearest neighbours (Å) after each atom.
Sites, in units of the cell vectors:
Li1 0.0000 0.0000 0.0000  8 Gd 3.30, 4 Li 3.51
Gd1 0.5000 0.5000 0.2870  4 Be 2.96, 1 Gd 3.24, 4 Li 3.30
Gd2 0.5000 0.5000 0.7130  4 Be 2.96, 1 Gd 3.24, 4 Li 3.30
Be1 0.0000 0.0000 0.5000  8 Gd 2.96

Summary:
SG: P4/mmm
Calculated density (g/cm3): 5.88
Uncorrected energy (eV per cell): -33.45
ΔH_f (0 K) (eV/atom): 0.09

---

Record 2
# TbPmTc

TbPmTc after structural relaxation (GGA-PBE, Alexandria via LeMat-Bulk).

Lattice parameters (Å, degrees): 4.8289 6.1930 6.2295 70.88 67.27 67.15
With the nearest neighbours (Å) after each atom.
Sites, in units of the cell vectors:
Tb1 0.1828 0.4288 0.2064  3 Tc 2.95-3.07
Tb2 0.8172 0.5712 0.7936  3 Tc 2.95-3.07
Pm1 0.4257 0.8290 0.3223  3 Tc 2.97-3.12
Pm2 0.5743 0.1710 0.6777  3 Tc 2.97-3.12
Tc1 0.1316 0.8835 0.8509  1 Tc 2.38
Tc2 0.8684 0.1165 0.1491  1 Tc 2.38

Summary:
SG: P-1
Calculated density (g/cm3): 8.62
Uncorrected energy (eV per cell): -39.29
ΔH_f (0 K) (eV/atom): 0.03

---

Record 3
# LaY2HfIn

LaY2HfIn after structural relaxation (GGA-PBE, Alexandria via LeMat-Bulk).

Lattice parameters (Å, degrees): 5.6506 5.6506 5.9256 90.00 90.00 90.00
With the nearest neighbours (Å) after each atom.
Sites, in units of the cell vectors:
La1 0.0000 0.0000 0.0000  2 In 2.96
Y1 0.0000 0.5000 0.5000  2 In 2.83
Y2 0.5000 0.0000 0.5000  2 In 2.83
Hf1 0.5000 0.5000 0.0000  4 La 4.00, 8 Y 4.09
In1 0.0000 0.0000 0.5000  4 Y 2.83, 2 La 2.96

Summary:
SG: P4/mmm
Calculated density (g/cm3): 5.35
Uncorrected energy (eV per cell): -26.61
ΔH_f (0 K) (eV/atom): 0.79

---

Record 4
# LiDyTlPb

LiDyTlPb after structural relaxation (GGA-PBE, Alexandria via LeMat-Bulk).

Lattice parameters (Å, degrees): 5.2525 5.2525 5.2525 60.00 60.00 60.00
With the nearest neighbours (Å) after each atom.
Sites, in units of the cell vectors:
Li1 0.0000 0.0000 0.0000  4 Tl 3.22, 4 Pb 3.22
Dy1 0.5000 0.5000 0.5000  4 Tl 3.22, 4 Pb 3.22
Tl1 0.7500 0.7500 0.7500  4 Dy 3.22, 4 Li 3.22
Pb1 0.2500 0.2500 0.2500  4 Dy 3.22, 4 Li 3.22

Summary:
SG: F-43m
Calculated density (g/cm3): 9.42
Uncorrected energy (eV per cell): -13.83
ΔH_f (0 K) (eV/atom): -0.31